[1]
Material: La2SbW
Method: DFT, GGA-PBE
State: optimized geometry

Computed properties:
**Symmetry**: Cmmm, No. 65
**E_form (uncorrected)**: 0.10 eV/atom
**Calculated density**: 9.228 g cm⁻³

The structure in CIF format:
```
data_La2SbW
_cell_length_a 7.4790
_cell_length_b 5.4408
_cell_length_c 3.7024
_cell_angle_alpha 90.02
_cell_angle_beta 60.30
_cell_angle_gamma 121.25
_space_group_name_H-M_alt 'P 1'
_space_group_IT_number 1
_space_group_name_Hall 'P 1'
loop_
_atom_site_label
_atom_site_type_symbol
_atom_site_fract_x
_atom_site_fract_y
_atom_site_fract_z
_atom_site_occupancy
La1 La 0.0000 0.0000 0.0000 1
La2 La 0.5000 0.0000 0.5000 1
Sb1 Sb 0.0000 0.5000 0.5000 1
W1 W 0.5000 0.5000 0.0000 1
```

***

[2]
Material: La2SbW
Method: DFT, GGA-PBE
State: optimized geometry

Computed properties:
**Symmetry**: I-4m2, No. 119
**E_form (uncorrected)**: 0.20 eV/atom
**Calculated density**: 9.233 g cm⁻³

The structure in CIF format:
```
data_La2SbW
_cell_length_a 5.8864
_cell_length_b 5.8864
_cell_length_c 5.8864
_cell_angle_alpha 133.67
_cell_angle_beta 133.67
_cell_angle_gamma 67.61
_space_group_name_H-M_alt 'P 1'
_space_group_IT_number 1
_space_group_name_Hall 'P 1'
loop_
_atom_site_label
_atom_site_type_symbol
_atom_site_fract_x
_atom_site_fract_y
_atom_site_fract_z
_atom_site_occupancy
Sb1 Sb 0.5000 0.5000 0.0000 1
W1 W 0.7500 0.2500 0.5000 1
La1 La 0.0000 0.0000 0.0000 1
La2 La 0.2500 0.7500 0.5000 1
```

***

[3]
Material: La2SbW
Method: DFT, GGA-PBE
State: optimized geometry

Computed properties:
**Symmetry**: F-43m, No. 216
**E_form (uncorrected)**: 0.25 eV/atom
**Calculated density**: 9.795 g cm⁻³

The structure in CIF format:
```
data_La2SbW
_cell_length_a 5.1910
_cell_length_b 5.1910
_cell_length_c 5.1910
_cell_angle_alpha 60.00
_cell_angle_beta 60.00
_cell_angle_gamma 60.00
_space_group_name_H-M_alt 'P 1'
_space_group_IT_number 1
_space_group_name_Hall 'P 1'
loop_
_atom_site_label
_atom_site_type_symbol
_atom_site_fract_x
_atom_site_fract_y
_atom_site_fract_z
_atom_site_occupancy
W1 W 0.7500 0.7500 0.7500 1
La1 La 0.0000 0.0000 0.0000 1
La2 La 0.2500 0.2500 0.2500 1
Sb1 Sb 0.5000 0.5000 0.5000 1
```

***

[4]
Material: La4SbW
Method: DFT, GGA-PBE
State: optimized geometry

Computed properties:
**Symmetry**: F-43m, No. 216
**E_form (uncorrected)**: 0.69 eV/atom
**Calculated density**: 8.200 g cm⁻³

The structure in CIF format:
```
data_La4SbW
_cell_length_a 6.2713
_cell_length_b 6.2713
_cell_length_c 6.2713
_cell_angle_alpha 60.00
_cell_angle_beta 60.00
_cell_angle_gamma 60.00
_space_group_name_H-M_alt 'P 1'
_space_group_IT_number 1
_space_group_name_Hall 'P 1'
loop_
_atom_site_label
_atom_site_type_symbol
_atom_site_fract_x
_atom_site_fract_y
_atom_site_fract_z
_atom_site_occupancy
La1 La 0.3739 0.3739 0.8784 1
La2 La 0.3739 0.8784 0.3739 1
La3 La 0.3739 0.3739 0.3739 1
La4 La 0.8784 0.3739 0.3739 1
Sb1 Sb 0.7500 0.7500 0.7500 1
W1 W 0.0000 0.0000 0.0000 1
```